! SrSc2Cd, relaxed, DFT GGA-PBEsol; values from VASP
! Excess energy over the best structure of this formula in the dataset in meV per atom: 30.3
! ΔE_f in eV per formula unit: 0.6
&SYSTEM
  ibrav = 0, nat = 4, ntyp = 3
/
ATOMIC_SPECIES
Cd 112.41 Cd.upf
Sc 44.96 Sc.upf
Sr 87.62 Sr.upf
CELL_PARAMETERS angstrom
-1.6792 -4.2463 -2.7110
1.1874 -4.8841 1.7135
-3.8065 -3.1041 2.0187
ATOMIC_POSITIONS crystal
Cd 0.5000 0.5000 0.5000
Sc 0.7500 0.7500 0.7500
Sc 0.0000 0.0000 0.0000
Sr 0.2500 0.2500 0.2500

***

! MgSi2Ag, relaxed, DFT GGA-PBEsol; values from VASP
! Raw formation energy in kJ/mol of formula units: 52
&SYSTEM
  ibrav = 0, nat = 4, ntyp = 3
/
ATOMIC_SPECIES
Si 28.09 Si.upf
Ag 107.87 Ag.upf
Mg 24.30 Mg.upf
CELL_PARAMETERS angstrom
4.0018 0.0000 0.0000
0.0000 4.0018 0.0000
0.0000 0.0000 4.0669
ATOMIC_POSITIONS crystal
Si 0.0000 0.5000 0.0000
Si 0.5000 0.0000 0.0000
Ag 0.5000 0.5000 0.5000
Mg 0.0000 0.0000 0.5000

***

! LiMg2Ag2, relaxed, DFT GGA-PBEsol; values from VASP
! Excess energy over the best structure of this formula in the dataset in meV per atom: 192.3
! ΔE_f in eV per formula unit: 0.1
&SYSTEM
  ibrav = 0, nat = 5, ntyp = 3
/
ATOMIC_SPECIES
Ag 107.87 Ag.upf
Mg 24.30 Mg.upf
Li 6.94 Li.upf
CELL_PARAMETERS angstrom
-1.1095 2.0070 3.4438
-2.8789 -2.8759 0.7485
6.1201 -2.8514 1.1480
ATOMIC_POSITIONS crystal
Ag 0.6055 0.6055 0.2111
Ag 0.3945 0.3945 0.7889
Mg 0.2500 0.7500 0.5000
Li 0.0000 0.0000 0.0000
Mg 0.7500 0.2500 0.5000

***

! SrCd2Co2, relaxed, DFT GGA-PBEsol; values from VASP
! ΔE_f in eV per formula unit: 1.1
&SYSTEM
  ibrav = 0, nat = 5, ntyp = 3
/
ATOMIC_SPECIES
Sr 87.62 Sr.upf
Cd 112.41 Cd.upf
Co 58.93 Co.upf
CELL_PARAMETERS angstrom
4.3437 0.0000 0.0000
0.0000 4.3437 0.0000
-2.1719 -2.1719 5.2723
ATOMIC_POSITIONS crystal
Sr 0.0000 0.0000 0.0000
Cd 0.7500 0.2500 0.5000
Co 0.3997 0.3997 0.7993
Co 0.6003 0.6003 0.2007
Cd 0.2500 0.7500 0.5000

***

! Zr2InP, relaxed, DFT GGA-PBEsol; values from VASP
! Excess energy over the best structure of this formula in the dataset in meV per atom: 234.8
! ΔE_f in eV per formula unit: -2.7
&SYSTEM
  ibrav = 0, nat = 4, ntyp = 3
/
ATOMIC_SPECIES
P 30.97 P.upf
Zr 91.22 Zr.upf
In 114.82 In.upf
CELL_PARAMETERS angstrom
3.4388 0.0000 0.0000
0.0000 3.4083 -0.0060
-1.7194 -1.6914 7.2515
ATOMIC_POSITIONS crystal
P 0.7067 0.2067 0.4134
Zr 0.0748 0.0748 0.1495
Zr 0.2749 0.7750 0.5499
In 0.4436 0.4435 0.8873

***

! CrAgCl2, relaxed, DFT GGA-PBEsol; values from VASP
! Raw formation energy in kJ/mol of formula units: -47
! Excess energy over the best structure of this formula in the dataset in meV per atom: 0.0
&SYSTEM
  ibrav = 0, nat = 4, ntyp = 3
/
ATOMIC_SPECIES
Cl 35.45 Cl.upf
Ag 107.87 Ag.upf
Cr 52.00 Cr.upf
CELL_PARAMETERS angstrom
3.2219 0.0000 0.0000
0.0000 3.9485 -0.0966
-1.6109 -1.8255 6.0043
ATOMIC_POSITIONS crystal
Cl 0.7980 0.2983 0.5961
Cl 0.0174 0.0171 0.0348
Ag 0.1993 0.6995 0.3987
Cr 0.4852 0.4851 0.9705

***

! Li2TcAg, relaxed, DFT GGA-PBEsol; values from VASP
! Excess energy over the best structure of this formula in the dataset in meV per atom: 219.4
! ΔE_f in eV per formula unit: 2.2
&SYSTEM
  ibrav = 0, nat = 4, ntyp = 3
/
ATOMIC_SPECIES
Ag 107.87 Ag.upf
Tc 98.00 Tc.upf
Li 6.94 Li.upf
CELL_PARAMETERS angstrom
-1.7850 3.8527 -1.0561
-3.5887 1.3922 2.0803
0.2526 3.3651 2.7851
ATOMIC_POSITIONS crystal
Ag 0.5000 0.5000 0.5000
Tc 0.2500 0.2500 0.2500
Li 0.7500 0.7500 0.7500
Li 0.0000 0.0000 0.0000

***

Here is a geometry-optimized TiH2Ir2 structure from Alexandria. Energies are from GGA-PBEsol. Values from VASP.

Cell and atoms, written as Quantum ESPRESSO input:
```
&SYSTEM
  ibrav = 0, nat = 5, ntyp = 3
/
ATOMIC_SPECIES
H 1.01 H.upf
Ti 47.87 Ti.upf
Ir 192.22 Ir.upf
CELL_PARAMETERS angstrom
3.9370 0.0000 0.0000
-1.9685 3.9709 0.0122
0.0000 1.9412 3.4252
ATOMIC_POSITIONS crystal
H 0.7013 0.4026 0.2987
Ti 0.0000 0.0000 0.0000
H 0.2987 0.5974 0.7013
Ir 0.2500 0.5000 0.2500
Ir 0.7500 0.5000 0.7500
```

***

! CrIn2Ir, relaxed, DFT GGA-PBEsol; values from VASP
! Excess energy over the best structure of this formula in the dataset in meV per atom: 0.0
! ΔE_f in eV per formula unit: 0.8
&SYSTEM
  ibrav = 0, nat = 4, ntyp = 3
/
ATOMIC_SPECIES
In 114.82 In.upf
Cr 52.00 Cr.upf
Ir 192.22 Ir.upf
CELL_PARAMETERS angstrom
-1.4168 2.8750 -0.2071
-2.7384 -1.4146 -0.9034
-1.7999 -0.4438 6.1506
ATOMIC_POSITIONS crystal
In 0.0000 0.0000 0.2487
Cr 0.5000 0.5000 0.5000
Ir 0.5000 0.5000 0.0000
In 0.0000 0.0000 0.7513

***

! MgInPb2, relaxed, DFT GGA-PBEsol; values from VASP
! ΔE_f in eV per formula unit: -0.1
&SYSTEM
  ibrav = 0, nat = 4, ntyp = 3
/
ATOMIC_SPECIES
In 114.82 In.upf
Pb 207.20 Pb.upf
Mg 24.30 Mg.upf
CELL_PARAMETERS angstrom
4.7581 0.0000 0.0000
0.0000 4.7581 0.0000
-2.3790 -2.3790 4.7402
ATOMIC_POSITIONS crystal
In 0.5000 0.5000 0.0000
Pb 0.2500 0.7500 0.5000
Mg 0.0000 0.0000 0.0000
Pb 0.7500 0.2500 0.5000

***

! Sb2Rh2Se, relaxed, DFT GGA-PBEsol; values from VASP
! Raw formation energy in kJ/mol of formula units: -26
&SYSTEM
  ibrav = 0, nat = 5, ntyp = 3
/
ATOMIC_SPECIES
Sb 121.76 Sb.upf
Rh 102.91 Rh.upf
Se 78.96 Se.upf
CELL_PARAMETERS angstrom
-2.0455 3.5239 0.4981
-3.5505 -2.0599 -0.0069
3.1550 -1.3673 5.7155
ATOMIC_POSITIONS crystal
Sb 0.6191 0.6191 0.2382
Rh 0.2500 0.7500 0.5000
Sb 0.3809 0.3809 0.7618
Se 0.0000 0.0000 0.0000
Rh 0.7500 0.2500 0.5000

***

! SiSb2P, relaxed, DFT GGA-PBEsol; values from VASP
! Raw formation energy in kJ/mol of formula units: 105
! Excess energy over the best structure of this formula in the dataset in meV per atom: 0.0
&SYSTEM
  ibrav = 0, nat = 4, ntyp = 3
/
ATOMIC_SPECIES
P 30.97 P.upf
Si 28.09 Si.upf
Sb 121.76 Sb.upf
CELL_PARAMETERS angstrom
2.8808 0.0000 0.0000
0.0000 5.5256 0.0000
0.0000 0.0000 5.5256
ATOMIC_POSITIONS crystal
P 0.0000 0.0000 0.0000
Si 0.0000 0.5000 0.5000
Sb 0.0000 0.5000 0.0000
Sb 0.0000 0.0000 0.5000

***

| no. | total energy (eV/atom) |
| --- | --- |
| 1 | -3.912 |
| 2 | -3.996 |
| 3 | -2.381 |
| 4 | -3.718 |
| 5 | -7.412 |
| 6 | -4.515 |
| 7 | -4.084 |
| 8 | -7.129 |
| 9 | -6.296 |
| 10 | -3.194 |
| 11 | -5.902 |
| 12 | -4.890 |